Compound: LiCoH5Pd2
Source: the Alexandria database
Functional: PBE
Structure: relaxed

Lattice parameters (Å, degrees): 3.2855 4.6312 5.4702 115.04 107.48 90.00
Element x y z (fractional)
Li 0.0000 0.5000 0.0000
Pd 0.7718 0.7718 0.5436
Pd 0.2282 0.2282 0.4564
H 0.6301 0.3727 0.2602
H 0.0000 0.0000 0.0000
H 0.6301 0.8875 0.2602
H 0.3699 0.6273 0.7398
H 0.3699 0.1125 0.7398
Co 0.5000 0.0000 0.0000

Results
Total DFT energy (no corrections)   -4.1107 eV/atom
Space-group type   Immm, No. 71
Mass density   6.6 Mg/m³